1) First-principles (PBE) data for ZnInTe2N after structural relaxation, as listed in the Alexandria database.

- Magnetization: 1.6 μB per cell

Lattice parameters (Å, degrees): 5.923 5.923 4.020 90.00 90.00 90.00
Site moments in Bohr magnetons follow the coordinates.
Sites, in units of the cell vectors:
Te (0.000, 0.500, 0.000)  0.15
Te (0.500, 0.000, 0.000)  0.15
In (0.000, 0.000, 0.000)  -0.02
N (0.000, 0.000, 0.500)  0.84
Zn (0.500, 0.500, 0.500)  -0.02



2) First-principles (PBE) data for ZnInTe2N after structural relaxation, as listed in the Alexandria database.

- Magnetization: 2.0 μB per cell

Lattice parameters (Å, degrees): 6.018 6.018 3.578 90.00 90.00 90.00
Site moments in Bohr magnetons follow the coordinates.
Sites, in units of the cell vectors:
N (0.000, 0.000, 0.500)  0.92
Te (0.500, 0.000, 0.000)  0.19
Te (0.000, 0.500, 0.000)  0.19
Zn (0.000, 0.000, 0.000)  0.09
In (0.500, 0.500, 0.500)  0.01



Of the structures shown above, 1) is the least stable.